Computed, not measured: crystalline HoGa3Ru at its relaxed geometry at the PBE-GGA level of DFT.

Cell lengths 6.0323, 6.0323, 6.0323 Å; angles 73.48, 73.48, 73.48 degrees
Closest atoms and distances in Å follow each position.
Element x y z (fractional)
Ho: 0.1605 0.1605 0.1605  6 Ga 2.98-3.03, 1 Ru 3.26
Ho: 0.8395 0.8395 0.8395  6 Ga 2.98-3.03, 1 Ru 3.26
Ga: 0.3005 0.9867 0.6348  3 Ga 2.50-2.51, 2 Ru 2.56-2.70
Ga: 0.6348 0.3005 0.9867  3 Ga 2.50-2.51, 2 Ru 2.56-2.70
Ga: 0.9867 0.6348 0.3005  3 Ga 2.50-2.51, 2 Ru 2.56-2.70
Ga: 0.6995 0.0133 0.3652  3 Ga 2.50-2.51, 2 Ru 2.56-2.70
Ga: 0.0133 0.3652 0.6995  3 Ga 2.50-2.51, 2 Ru 2.56-2.70
Ga: 0.3652 0.6995 0.0133  3 Ga 2.50-2.51, 2 Ru 2.56-2.70
Ru: 0.4098 0.4098 0.4098  1 Ru 2.36, 3 Ga 2.56
Ru: 0.5902 0.5902 0.5902  1 Ru 2.36, 3 Ga 2.56

Calculated values
SG: No. 148
energy: -24.071 eV/f.u.
ΔE_f: -0.227 eV per atom
excess energy over the best structure of this formula in the dataset: 0.359 eV/atom



Computed, not measured: crystalline AgAu3 at its relaxed geometry at the PBE-GGA level of DFT.

Cell lengths 5.6839, 5.7536, 5.7807 Å; angles 150.99, 127.49, 61.12 degrees
Closest atoms and distances in Å follow each position.
Element x y z (fractional)
Au: 0.0840 0.7618 0.3441  9 Au 2.89-3.00, 3 Ag 2.98-3.02
Au: 0.5017 0.4907 0.9916  8 Au 2.89-3.02, 4 Ag 2.90-2.94
Au: 0.5819 0.2564 0.3404  9 Au 2.89-3.02, 3 Ag 2.94-3.00
Ag: 0.9991 0.9911 0.9908  2 Ag 2.89, 10 Au 2.90-3.02

Calculated values
SG: No. 1
energy: -12.738 eV/f.u.
ΔE_f: -0.014 eV per atom
excess energy over the best structure of this formula in the dataset: 0.021 eV/atom



Computed, not measured: crystalline Zr2HgPbN at its relaxed geometry at the PBE-GGA level of DFT.

Cell lengths 5.3157, 5.4913, 5.3157 Å; angles 90.00, 90.00, 90.00 degrees
Closest atoms and distances in Å follow each position.
Element x y z (fractional)
Pb: 0.0000 0.5000 0.0000  2 Hg 2.75
Hg: 0.0000 0.0000 0.0000  4 Zr 2.66, 2 Pb 2.75
Zr: 0.0000 0.0000 0.5000  2 Hg 2.66
Zr: 0.5000 0.0000 0.0000  2 Hg 2.66
N: 0.5000 0.5000 0.5000  4 Pb 3.76, 8 Zr 3.82

Calculated values
SG: No. 123
energy: -19.173 eV/f.u.
formation energy without anion corrections: 2052 meV per atom



Computed, not measured: crystalline AcLaGeBr at its relaxed geometry at the PBE-GGA level of DFT.

Cell lengths 5.2824, 5.3505, 6.2581 Å; angles 90.00, 90.00, 119.58 degrees
Closest atoms and distances in Å follow each position.
Element x y z (fractional)
Ac: 0.8386 0.6771 0.0000  3 Br 3.07-3.08, 2 Ge 3.13
La: 0.1679 0.3358 0.5000  3 Ge 3.07-3.08, 2 Br 3.13
Ge: 0.8370 0.6740 0.5000  3 La 3.07-3.08, 2 Ac 3.13
Br: 0.1689 0.3378 0.0000  3 Ac 3.07-3.08, 2 La 3.13

Calculated values
SG: No. 38
energy: -18.702 eV/f.u.
formation energy without anion corrections: -844 meV per atom
excess energy over the best structure of this formula in the dataset: 0.156 eV/atom



Q: Among the records above, which one has the highest energy?
A: AgAu3



Q: What is the energy in the first record?
A: -24.071 eV/f.u.



Q: energy of number 3 (Zr2HgPbN)?
A: -19.173 eV/f.u.